No. 1
First-principles (GGA-PBE) data for a geometry-optimized Sc3AuC structure, as listed in Alexandria via LeMat-Bulk.

Unit cell a=6.5959 b=6.5959 c=4.6985 alpha=90.00 beta=90.00 gamma=120.00
Space group P-6 (No. 174)
Unique sites:
Sc  0.0141  0.4383  0.0000
Sc  0.0660  0.7603  0.5000
Au  0.0000  0.0000  0.0000
Au  0.6667  0.3333  0.5000
C  0.3333  0.6667  0.3338

Results
Energy above the lowest structure with this stoichiometry ... 63 meV per atom
Formation energy ... -0.594 eV/atom
Electronic total energy ... -6.893 eV per atom



No. 2
First-principles (GGA-PBE) data for a geometry-optimized ScAuC3 structure, as listed in Alexandria via LeMat-Bulk.

Unit cell a=4.1125 b=4.1125 c=4.1125 alpha=90.00 beta=90.00 gamma=90.00
Space group Pm-3m (No. 221)
Unique sites:
Sc  0.0000  0.0000  0.0000
Au  0.5000  0.5000  0.5000
C  0.0000  0.5000  0.5000

Results
Energy above the lowest structure with this stoichiometry ... 0 meV per atom
Formation energy ... 2.375 eV/atom
Electronic total energy ... -5.082 eV per atom



No. 3
First-principles (GGA-PBE) data for a geometry-optimized Sc3AuC structure, as listed in Alexandria via LeMat-Bulk.

Unit cell a=6.7120 b=6.7120 c=17.4913 alpha=90.00 beta=90.00 gamma=120.00
Space group R-3c (No. 167, hexagonal axes)
Unique sites:
Sc  0.0000  0.3061  0.2500
Au  0.0000  0.0000  0.0000
C  0.0000  0.0000  0.2500

Results
Energy above the lowest structure with this stoichiometry ... 609 meV per atom
Formation energy ... -0.047 eV/atom
Electronic total energy ... -6.347 eV per atom



No. 4
First-principles (GGA-PBE) data for a geometry-optimized Sc2AuC structure, as listed in Alexandria via LeMat-Bulk.

Unit cell a=3.5903 b=3.5903 c=24.1757 alpha=90.00 beta=90.00 gamma=120.00
Space group R-3m (No. 166, hexagonal axes)
Unique sites:
Sc  0.0000  0.0000  0.0858
Au  0.0000  0.0000  0.5000
C  0.0000  0.0000  0.0000

Results
Formation energy ... 0.644 eV/atom
Electronic total energy ... -5.647 eV per atom



No. 5
First-principles (GGA-PBE) data for a geometry-optimized ScAuC structure, as listed in Alexandria via LeMat-Bulk.

Unit cell a=3.8653 b=3.8653 c=4.1408 alpha=90.00 beta=90.00 gamma=120.00
Space group P-6m2 (No. 187)
Unique sites:
Sc  0.0000  0.0000  0.0000
Au  0.3333  0.6667  0.5000
C  0.3333  0.6667  0.0000

Results
Formation energy ... 0.015 eV/atom
Electronic total energy ... -6.263 eV per atom



No. 6
First-principles (GGA-PBE) data for a geometry-optimized Sc3AuC structure, as listed in Alexandria via LeMat-Bulk.

Unit cell a=4.0085 b=4.0085 c=14.7696 alpha=90.00 beta=90.00 gamma=120.00
Space group P6_3/mmc (No. 194)
Unique sites:
Sc  0.0000  0.0000  0.2500
Sc  0.3333  0.6667  0.1005
Au  0.0000  0.0000  0.0000
C  0.3333  0.6667  0.2500

Results
Energy above the lowest structure with this stoichiometry ... 259 meV per atom
Formation energy ... -0.398 eV/atom
Electronic total energy ... -6.697 eV per atom



No. 7
First-principles (GGA-PBE) data for a geometry-optimized ScAuC structure, as listed in Alexandria via LeMat-Bulk.

Unit cell a=4.6577 b=4.2068 c=4.6566 alpha=90.00 beta=90.00 gamma=90.00
Space group Pmma (No. 51)
Unique sites:
Sc  0.2500  0.0000  0.2498
Au  0.2500  0.5000  0.7482
C  0.2500  0.0000  0.7509

Results
Formation energy ... -0.130 eV/atom
Electronic total energy ... -6.407 eV per atom



No. 8
First-principles (GGA-PBE) data for a geometry-optimized ScAuC2 structure, as listed in Alexandria via LeMat-Bulk.

Unit cell a=5.7930 b=5.7930 c=5.7930 alpha=90.00 beta=90.00 gamma=90.00
Space group Fm-3m (No. 225)
Unique sites:
Sc  0.0000  0.0000  0.0000
Au  0.0000  0.0000  0.5000
C  0.2500  0.2500  0.2500

Results
Energy above the lowest structure with this stoichiometry ... 197 meV per atom
Formation energy ... 1.260 eV/atom
Electronic total energy ... -5.754 eV per atom



Computed density of states at the Fermi level (states/eV/cell) in order:
13.61 6.25 22.75 13.12 1.26 5.66 3.78 19.11
Computed V (A^3/atom) in order:
17.70 13.91 22.75 22.49 17.87 20.55 15.21 12.15